Here is a geometry-optimized CaPr4Er structure from Alexandria. Energies are from PBE.

Properties
Volume (Å³ per atom): 36.13
E (eV per atom): -4.249
SG: P4/mmm, No. 123
Density (kg/m3): 5905
Energy above the most stable polymorph in this dataset (kJ/mol of atoms): 0.00

Cell lengths 3.725, 3.725, 15.624 Å; angles 90.00, 90.00, 90.00 degrees
Fractional positions:
Ca  0.000  0.000  0.000
Pr  0.000  0.000  0.659
Pr  0.000  0.000  0.341
Pr  0.500  0.500  0.819
Er  0.500  0.500  0.500
Pr  0.500  0.500  0.181

Here is a geometry-optimized YAg2Rh structure from Alexandria. Energies are from PBE.

Properties
Volume (Å³ per atom): 20.65
E (eV per atom): -4.853
SG: R3m, No. 160
Density (kg/m3): 8192
Energy above the most stable polymorph in this dataset (kJ/mol of atoms): 40.88

Cell lengths 8.970, 8.970, 8.970 Å; angles 21.19, 21.19, 21.19 degrees
Fractional positions:
Y  0.758  0.758  0.758
Rh  0.499  0.499  0.499
Ag  0.996  0.996  0.996
Ag  0.247  0.247  0.247

Here is a geometry-optimized FeNi3Pt2 structure from Alexandria. Energies are from PBE.

Properties
Volume (Å³ per atom): 12.95
E (eV per atom): -6.380
SG: Fmmm, No. 69
Density (kg/m3): 13297
Energy above the most stable polymorph in this dataset (kJ/mol of atoms): 0.00

Cell lengths 4.903, 4.903, 8.230 Å; angles 115.01, 115.01, 65.22 degrees
Last column: magnetic moment on the atom in μB.
Fractional positions:
Ni  0.667  0.667  0.833  0.79
Fe  0.666  0.666  0.333  3.02
Fe  0.334  0.334  0.667  3.02
Ni  0.833  0.833  0.666  0.70
Ni  0.166  0.166  0.833  0.79
Pt  0.250  0.750  0.000  0.35
Ni  0.167  0.167  0.334  0.70
Pt  0.750  0.250  0.500  0.37
Pt  0.250  0.750  0.500  0.37
Pt  0.750  0.250  0.000  0.35
Ni  0.834  0.834  0.167  0.79
Ni  0.333  0.333  0.167  0.79